Material: PrSb2
Method: DFT, GGA-PBEsol
State: relaxed

Raw total energy in eV for the cell shown: -67.39
SG: Cmce, No. 64
DOS(E_F) in states/eV per cell: 3.69
Calculated density in g/cm3: 7.4
Formation energy (no corrections) in meV/atom: -849.3

Geometry as POSCAR:
```
PrSb2
1.0
3.124 -3.059 0.000
3.124 3.059 0.000
0.000 0.000 18.058
Pr Sb
4 8
direct
0.137 0.863 0.890
0.363 0.637 0.390
0.637 0.363 0.610
0.863 0.137 0.110
0.124 0.376 0.750
0.135 0.865 0.564
0.365 0.635 0.064
0.376 0.124 0.250
0.624 0.876 0.750
0.635 0.365 0.936
0.865 0.135 0.436
0.876 0.624 0.250
```

***

Material: SrMn2Br
Method: DFT, GGA-PBEsol
State: relaxed

Raw total energy in eV for the cell shown: -22.24
SG: P4mm, No. 99
DOS(E_F) in states/eV per cell: 3.25
Calculated density in g/cm3: 4.8
Formation energy (no corrections) in meV/atom: 247.6

Geometry as POSCAR:
```
SrMn2Br
1.0
3.641 0.000 0.000
0.000 3.641 0.000
0.000 0.000 7.222
Sr Mn Br
1 2 1
direct
0.000 0.000 0.000
0.000 0.000 0.585
0.500 0.500 0.664
0.500 0.500 0.248
```

***

Material: AgAsSe2
Method: DFT, GGA-PBEsol
State: relaxed

Raw total energy in eV for the cell shown: -16.49
SG: R-3m, No. 166
DOS(E_F) in states/eV per cell: 0.68
Calculated density in g/cm3: 6.9
Formation energy (no corrections) in meV/atom: -93.0

Geometry as POSCAR:
```
AgAsSe2
1.0
1.934 1.117 6.343
-1.934 1.117 6.343
0.000 -2.234 6.343
Ag As Se
1 1 2
direct
0.000 0.000 0.000
0.500 0.500 0.500
0.247 0.247 0.247
0.753 0.753 0.753
```

***

Material: Sc2NbSi2
Method: DFT, GGA-PBEsol
State: relaxed

Raw total energy in eV for the cell shown: -78.41
SG: P4/mbm, No. 127
DOS(E_F) in states/eV per cell: 7.64
Calculated density in g/cm3: 4.6
Formation energy (no corrections) in meV/atom: -735.7

Geometry as POSCAR:
```
Sc2NbSi2
1.0
6.861 0.000 0.000
0.000 6.861 0.000
0.000 0.000 3.699
Sc Nb Si
4 2 4
direct
0.176 0.324 0.000
0.324 0.824 0.000
0.676 0.176 0.000
0.824 0.676 0.000
0.000 0.000 0.500
0.500 0.500 0.500
0.127 0.627 0.500
0.373 0.127 0.500
0.627 0.873 0.500
0.873 0.373 0.500
```

***

Material: CoPtSe2N
Method: DFT, GGA-PBEsol
State: relaxed

Raw total energy in eV for the cell shown: -26.28
SG: P4/mmm, No. 123
DOS(E_F) in states/eV per cell: 5.27
Calculated density in g/cm3: 7.5
Formation energy (no corrections) in meV/atom: 929.7

Geometry as POSCAR:
```
CoPtSe2N
1.0
5.114 0.000 0.000
0.000 5.114 0.000
0.000 0.000 3.584
Co Pt Se N
1 1 2 1
direct
0.000 0.000 0.000
0.500 0.500 0.500
0.000 0.500 0.500
0.500 0.000 0.500
0.500 0.500 0.000
```

***

Material: BiMoH3
Method: DFT, GGA-PBEsol
State: relaxed

Raw total energy in eV for the cell shown: -24.16
SG: Pm-3m, No. 221
DOS(E_F) in states/eV per cell: 2.32
Calculated density in g/cm3: 9.9

Geometry as POSCAR:
```
BiMoH3
1.0
3.719 0.000 0.000
0.000 3.719 0.000
0.000 0.000 3.719
Bi Mo H
1 1 3
direct
0.000 0.000 0.000
0.500 0.500 0.500
0.000 0.500 0.500
0.500 0.000 0.500
0.500 0.500 0.000
```

***

Material: Ba2Tl2Cu2HgO8
Method: DFT, GGA-PBEsol
State: relaxed

Raw total energy in eV for the cell shown: -78.15
SG: I4mm, No. 107
DOS(E_F) in states/eV per cell: 2.88
Calculated density in g/cm3: 8.8
Formation energy (no corrections) in meV/atom: -1157.6

Geometry as POSCAR:
```
Ba2Tl2Cu2HgO8
1.0
-1.925 1.925 14.513
1.925 -1.925 14.513
1.925 1.925 -14.513
Ba Tl Cu Hg O
2 2 2 1 8
direct
0.000 0.000 0.000
0.250 0.250 0.000
0.125 0.125 0.000
0.410 0.410 0.000
0.569 0.569 0.000
0.682 0.682 0.000
0.835 0.835 0.000
0.073 0.573 0.500
0.174 0.674 0.500
0.341 0.341 0.000
0.480 0.480 0.000
0.573 0.073 0.500
0.674 0.174 0.500
0.763 0.763 0.000
0.908 0.908 0.000
```

***

Material: La2Hg
Method: DFT, GGA-PBEsol
State: relaxed

Raw total energy in eV for the cell shown: -12.22
SG: P-3m1, No. 164
DOS(E_F) in states/eV per cell: 2.45
Calculated density in g/cm3: 9.4

Geometry as POSCAR:
```
La2Hg
1.0
5.077 0.000 0.000
-2.539 4.397 0.000
0.000 0.000 3.789
La Hg
2 1
direct
0.333 0.667 0.335
0.667 0.333 0.665
0.000 0.000 0.000
```

***

- The lowest DOS(E_F) belongs to which entry?
  AgAsSe2

***

- Which of these has the highest DOS(E_F)?
  Sc2NbSi2

***

- The lowest raw total energy belongs to which entry?
  Sc2NbSi2

***

- The lowest raw total energy belongs to which entry?
  Sc2NbSi2